Entry 1:
# Sc2Ta4S3N3, relaxed, DFT PBE
data_Sc2Ta4S3N3
_chemical_formula_sum 'Sc8 Ta16 S12 N12'
_symmetry_space_group_name_H-M 'C 1 2/c 1'
_symmetry_Int_Tables_number 15
_cell_length_a 9.880
_cell_length_b 5.764
_cell_length_c 11.925
_cell_angle_alpha 90.00
_cell_angle_beta 105.61
_cell_angle_gamma 90.00
loop_
_symmetry_equiv_pos_as_xyz
'x,y,z'
'-x,-y,-z'
'-x,y,-z+1/2'
'x,-y,z+1/2'
'x+1/2,y+1/2,z'
'-x+1/2,-y+1/2,-z'
'-x+1/2,y+1/2,-z+1/2'
'x+1/2,-y+1/2,z+1/2'
loop_
_atom_site_label
_atom_site_type_symbol
_atom_site_fract_x
_atom_site_fract_y
_atom_site_fract_z
Sc1 Sc 0.052 0.085 0.397
Ta1 Ta 0.114 0.428 0.590
Ta2 Ta 0.214 0.413 0.910
S1 S 0.000 0.430 0.250
S2 S 0.173 0.094 0.749
N1 N 0.077 0.233 0.000
N2 N 0.250 0.250 0.500
# uncorrected energy: -9.286 eV per atom

Entry 2:
# Sc4W2S3N3, relaxed, DFT PBE
data_Sc4W2S3N3
_chemical_formula_sum 'Sc16 W8 S12 N12'
_symmetry_space_group_name_H-M 'C 1 2/c 1'
_symmetry_Int_Tables_number 15
_cell_length_a 9.936
_cell_length_b 5.763
_cell_length_c 11.816
_cell_angle_alpha 90.00
_cell_angle_beta 105.66
_cell_angle_gamma 90.00
loop_
_symmetry_equiv_pos_as_xyz
'x,y,z'
'-x,-y,-z'
'-x,y,-z+1/2'
'x,-y,z+1/2'
'x+1/2,y+1/2,z'
'-x+1/2,-y+1/2,-z'
'-x+1/2,y+1/2,-z+1/2'
'x+1/2,-y+1/2,z+1/2'
loop_
_atom_site_label
_atom_site_type_symbol
_atom_site_fract_x
_atom_site_fract_y
_atom_site_fract_z
Sc1 Sc 0.116 0.091 0.101
Sc2 Sc 0.221 0.079 0.400
W1 W 0.049 0.423 0.911
S1 S 0.000 0.108 0.750
S2 S 0.156 0.427 0.252
N1 N 0.087 0.239 0.500
N2 N 0.250 0.250 0.000
# uncorrected energy: -8.666 eV per atom

Entry 3:
# Zr2Sc4S3N3, relaxed, DFT PBE
data_Zr2Sc4S3N3
_chemical_formula_sum 'Zr8 Sc16 S12 N12'
_symmetry_space_group_name_H-M 'C 1 2/c 1'
_symmetry_Int_Tables_number 15
_cell_length_a 10.039
_cell_length_b 5.802
_cell_length_c 12.401
_cell_angle_alpha 90.00
_cell_angle_beta 105.65
_cell_angle_gamma 90.00
loop_
_symmetry_equiv_pos_as_xyz
'x,y,z'
'-x,-y,-z'
'-x,y,-z+1/2'
'x,-y,z+1/2'
'x+1/2,y+1/2,z'
'-x+1/2,-y+1/2,-z'
'-x+1/2,y+1/2,-z+1/2'
'x+1/2,-y+1/2,z+1/2'
loop_
_atom_site_label
_atom_site_type_symbol
_atom_site_fract_x
_atom_site_fract_y
_atom_site_fract_z
Zr1 Zr 0.051 0.084 0.401
Sc1 Sc 0.117 0.419 0.600
Sc2 Sc 0.215 0.415 0.900
S1 S 0.000 0.420 0.250
S2 S 0.168 0.084 0.750
N1 N 0.085 0.255 0.000
N2 N 0.250 0.250 0.500
# uncorrected energy: -8.467 eV per atom

Entry 4:
# Zr4SiSN2, relaxed, DFT PBE
data_Zr4SiSN2
_chemical_formula_sum 'Zr4 Si1 S1 N2'
_symmetry_space_group_name_H-M 'P -6 m 2'
_symmetry_Int_Tables_number 187
_symmetry_space_group_name_Hall 'P -6 2'
_cell_length_a 3.3461
_cell_length_b 3.3461
_cell_length_c 12.6420
_cell_angle_alpha 90.00
_cell_angle_beta 90.00
_cell_angle_gamma 120.00
loop_
_atom_site_label
_atom_site_type_symbol
_atom_site_fract_x
_atom_site_fract_y
_atom_site_fract_z
Zr1 Zr 0.0000 0.0000 0.1447
Zr2 Zr 0.3333 0.6667 0.3399
Si1 Si 0.0000 0.0000 0.5000
S1 S 0.3333 0.6667 0.0000
N1 N 0.6667 0.3333 0.2429
# uncorrected energy: -8.909 eV per atom

Entry 5:
# Sm4S3N, relaxed, DFT PBE
data_Sm4S3N
_chemical_formula_sum 'Sm8 S6 N2'
_symmetry_space_group_name_H-M 'I 4/m m m'
_symmetry_Int_Tables_number 139
_symmetry_space_group_name_Hall '-I 4 2'
_cell_length_a 5.551
_cell_length_b 5.551
_cell_length_c 11.052
_cell_angle_alpha 90.00
_cell_angle_beta 90.00
_cell_angle_gamma 90.00
loop_
_atom_site_label
_atom_site_type_symbol
_atom_site_fract_x
_atom_site_fract_y
_atom_site_fract_z
Sm1 Sm 0.000 0.000 0.219
Sm2 Sm 0.000 0.500 0.000
S1 S 0.000 0.000 0.500
S2 S 0.000 0.500 0.250
N1 N 0.000 0.000 0.000
# uncorrected energy: -6.769 eV per atom

Entry 6:
# Ta4SnSN2, relaxed, DFT PBE
data_Ta4SnSN2
_chemical_formula_sum 'Ta4 Sn1 S1 N2'
_symmetry_space_group_name_H-M 'P -6 m 2'
_symmetry_Int_Tables_number 187
_symmetry_space_group_name_Hall 'P -6 2'
_cell_length_a 3.1118
_cell_length_b 3.1118
_cell_length_c 13.4815
_cell_angle_alpha 90.00
_cell_angle_beta 90.00
_cell_angle_gamma 120.00
loop_
_atom_site_label
_atom_site_type_symbol
_atom_site_fract_x
_atom_site_fract_y
_atom_site_fract_z
Ta1 Ta 0.0000 0.0000 0.1325
Ta2 Ta 0.6667 0.3333 0.3248
Sn1 Sn 0.0000 0.0000 0.5000
S1 S 0.6667 0.3333 0.0000
N1 N 0.3333 0.6667 0.2302
# uncorrected energy: -9.532 eV per atom

Entry 7:
# Ta2SN, relaxed, DFT PBE
data_Ta2SN
_chemical_formula_sum 'Ta4 S2 N2'
_symmetry_space_group_name_H-M 'P 63/m m c'
_symmetry_Int_Tables_number 194
_symmetry_space_group_name_Hall '-P 6c 2c'
_cell_length_a 3.0888
_cell_length_b 3.0888
_cell_length_c 12.5444
_cell_angle_alpha 90.00
_cell_angle_beta 90.00
_cell_angle_gamma 120.00
loop_
_atom_site_label
_atom_site_type_symbol
_atom_site_fract_x
_atom_site_fract_y
_atom_site_fract_z
Ta1 Ta 0.3333 0.6667 0.1075
S1 S 0.3333 0.6667 0.7500
N1 N 0.0000 0.0000 0.0000
# uncorrected energy: -9.734 eV per atom

Entry 8:
# Ta2SN, relaxed, DFT PBE
data_Ta2SN
_chemical_formula_sum 'Ta24 S12 N12'
_symmetry_space_group_name_H-M 'C 1 2/c 1'
_symmetry_Int_Tables_number 15
_cell_length_a 9.275
_cell_length_b 5.358
_cell_length_c 12.909
_cell_angle_alpha 90.00
_cell_angle_beta 103.92
_cell_angle_gamma 90.00
loop_
_symmetry_equiv_pos_as_xyz
'x,y,z'
'-x,-y,-z'
'-x,y,-z+1/2'
'x,-y,z+1/2'
'x+1/2,y+1/2,z'
'-x+1/2,-y+1/2,-z'
'-x+1/2,y+1/2,-z+1/2'
'x+1/2,-y+1/2,z+1/2'
loop_
_atom_site_label
_atom_site_type_symbol
_atom_site_fract_x
_atom_site_fract_y
_atom_site_fract_z
Ta1 Ta 0.050 0.082 0.391
Ta2 Ta 0.121 0.422 0.607
Ta3 Ta 0.214 0.413 0.894
S1 S 0.000 0.418 0.250
S2 S 0.167 0.085 0.748
N1 N 0.080 0.246 0.000
N2 N 0.250 0.250 0.500
# uncorrected energy: -9.734 eV per atom